[1]
First-principles (GGA-PBE) data for crystalline PrErTl2 at its relaxed geometry, as listed in Alexandria.

Properties
Magnetic moment = 0.00 μB/f.u.
Symmetry = No. 123
Polymorph energy (0 for the lowest one) = 0 meV per atom
V = 113.7 Å³ per cell
DFT formation energy = -0.363 eV/atom

Cell lengths 3.8404, 3.8404, 7.7115 Å; angles 90.00, 90.00, 90.00 degrees
With the nearest neighbours (Å) after each atom.
Atoms (fractional coordinates):
Pr 0.0000 0.0000 0.0000  8 Tl 3.41
Er 0.0000 0.0000 0.5000  8 Tl 3.26
Tl 0.5000 0.5000 0.2665  4 Er 3.26, 4 Pr 3.41, 1 Tl 3.60
Tl 0.5000 0.5000 0.7335  4 Er 3.26, 4 Pr 3.41, 1 Tl 3.60

=====

[2]
First-principles (GGA-PBE) data for crystalline AcNd3Cu4 at its relaxed geometry, as listed in Alexandria.

Properties
Magnetic moment = 0.00 μB/f.u.
Symmetry = No. 123
V = 193.6 Å³ per cell
DFT formation energy = -0.117 eV/atom

Cell lengths 5.1671, 5.1671, 7.2524 Å; angles 90.00, 90.00, 90.00 degrees
With the nearest neighbours (Å) after each atom.
Atoms (fractional coordinates):
Ac 0.0000 0.0000 0.0000  8 Cu 3.22
Nd 0.0000 0.0000 0.5000  8 Cu 3.09
Nd 0.5000 0.5000 0.0000  8 Cu 3.22
Nd 0.5000 0.5000 0.5000  8 Cu 3.09
Cu 0.0000 0.5000 0.2655  6 Nd 3.09-3.22, 2 Ac 3.22, 1 Cu 3.40
Cu 0.0000 0.5000 0.7345  6 Nd 3.09-3.22, 2 Ac 3.22, 1 Cu 3.40
Cu 0.5000 0.0000 0.2655  6 Nd 3.09-3.22, 2 Ac 3.22, 1 Cu 3.40
Cu 0.5000 0.0000 0.7345  6 Nd 3.09-3.22, 2 Ac 3.22, 1 Cu 3.40